## ZnAgOs2 (PBE)

Data for an optimized crystal structure of ZnAgOs2.

a = 4.470 Å, b = 4.470 Å, c = 2.975 Å
α = 90.00°, β = 90.00°, γ = 90.00°
Fractional positions:
Ag 0.000 0.500 0.500
Os 0.000 0.000 0.000
Os 0.500 0.500 0.000
Zn 0.500 0.000 0.500

Computed properties:
**D(E_F)**: 4.64 states/eV per cell
**Calculated formation energy**: 884 meV/atom
**Calculated density**: 15.46 g/cm³
**Crystal system**: tetragonal